[1]
# SiTcP2

SiTcP2 after structural relaxation (GGA-PBEsol, Alexandria).

Output
The value obtained for the raw formation energy is -8 meV per atom. The calculation puts the total energy at -7.16 eV/atom. The value obtained for the total magnetization is 0.00 μB/f.u.

abc: 5.3497 5.3497 10.0638
angles: 90.00 90.00 90.00
Last column: nearest neighbours and their distance in Å.
Space group I-42d (No. 122)
Asymmetric unit:
Si  0.0000  0.0000  0.0000 [4 per cell]  4 P 2.27
Tc  0.0000  0.0000  0.5000 [4 per cell]  4 P 2.27
P  0.2499  0.2500  0.1250 [8 per cell]  2 Si 2.27, 2 Tc 2.27


[2]
# SiTcP

SiTcP after structural relaxation (GGA-PBEsol, Alexandria).

Output
The value obtained for the raw formation energy is -16 meV per atom. The calculation puts the total energy at -7.62 eV/atom. The value obtained for the total magnetization is 0.00 μB/f.u.

abc: 4.0121 4.0121 2.9482
angles: 90.00 90.00 120.00
Last column: nearest neighbours and their distance in Å.
Space group P-6m2 (No. 187)
Asymmetric unit:
Si  0.0000  0.0000  0.0000 [1 per cell]  6 Tc 2.75, 6 P 2.75, 2 Si 2.95
Tc  0.3333  0.6667  0.5000 [1 per cell]  3 P 2.32
P  0.6667  0.3333  0.5000 [1 per cell]  3 Tc 2.32


Number 2 is which compound? SiTcP